Below is MgSc4Mn after structural relaxation, with properties calculated at the PBE level.

Calculated total energy, eV for the cell shown: -33.58
Magnetic moment, μB per atom: 0.639
Formation energy from the elements, meV per atom: 418
SG: F-43m, No. 216
ρ, g/cm3: 3.05

Cell lengths 5.8441, 5.8441, 5.8441 Å; angles 60.00, 60.00, 60.00 degrees
Fractional positions:
Sc1 0.3742 0.3742 0.3742
Sc2 0.3742 0.3742 0.8774
Sc3 0.8774 0.3742 0.3742
Sc4 0.3742 0.8774 0.3742
Mn1 0.0000 0.0000 0.0000
Mg1 0.7500 0.7500 0.7500

Below is TbHo2TmTe6 after structural relaxation, with properties calculated at the PBE level.

Calculated total energy, eV for the cell shown: -50.62
Magnetic moment, μB per atom: 0.000
SG: R3, No. 146
ρ, g/cm3: 6.65

Cell lengths 7.6588, 7.6589, 8.2793 Å; angles 62.45, 62.45, 60.00 degrees
Fractional positions:
Tb1 0.8232 0.8232 0.5305
Ho1 0.5090 0.5090 0.4729
Ho2 0.0085 0.0084 0.9746
Te1 0.7290 0.1044 0.7530
Te2 0.9184 0.5994 0.2500
Te3 0.5994 0.2322 0.2500
Te4 0.1043 0.4137 0.7530
Te5 0.4137 0.7290 0.7530
Te6 0.2322 0.9184 0.2500
Tm1 0.3239 0.3240 0.0282

Below is Rb3Bi4Pt after structural relaxation, with properties calculated at the PBE level.

Calculated total energy, eV for the cell shown: -52.69
Magnetic moment, μB per atom: 0.000
Formation energy from the elements, meV per atom: -235
SG: Pmmn, No. 59
ρ, g/cm3: 6.53

Cell lengths 6.5924, 7.1182, 13.9570 Å; angles 90.00, 90.00, 90.00 degrees
Fractional positions:
Rb1 0.1604 0.0000 0.7495
Rb2 0.1604 0.0000 0.2505
Rb3 0.4824 0.5000 0.5000
Rb4 0.8396 0.5000 0.7505
Rb5 0.5176 0.0000 0.0000
Rb6 0.8396 0.5000 0.2495
Pt1 0.6752 0.5000 0.0000
Pt2 0.3248 0.0000 0.5000
Bi1 0.6522 0.0000 0.6222
Bi2 0.9920 0.7595 0.5000
Bi3 0.3478 0.5000 0.8778
Bi4 0.3478 0.5000 0.1222
Bi5 0.0080 0.7405 0.0000
Bi6 0.9920 0.2405 0.5000
Bi7 0.6522 0.0000 0.3778
Bi8 0.0080 0.2595 0.0000

Below is Ac2TmSe2O2 after structural relaxation, with properties calculated at the PBE level.

Calculated total energy, eV for the cell shown: -47.50
Magnetic moment, μB per atom: 0.000
SG: I4/mmm, No. 139
ρ, g/cm3: 8.67

Cell lengths 4.3895, 4.3895, 8.6536 Å; angles 104.69, 104.69, 90.00 degrees
Fractional positions:
Ac1 0.3722 0.3722 0.7444
Ac2 0.6278 0.6278 0.2556
Tm1 0.0000 0.0000 0.0000
O1 0.5000 0.0000 0.0000
O2 0.0000 0.5000 0.0000
Se1 0.1753 0.1753 0.3506
Se2 0.8247 0.8247 0.6494